# 1
Here is a relaxed PuNpTcNi crystal from Alexandria via LeMat-Bulk. Energies are from PBE.

Structure (CIF):
```
data_PuNpTcNi
_chemical_formula_sum 'Pu4 Np4 Tc4 Ni4'
_cell_length_a 6.687
_cell_length_b 6.687
_cell_length_c 6.687
_cell_angle_alpha 90.00
_cell_angle_beta 90.00
_cell_angle_gamma 90.00
_space_group_name_H-M_alt 'F -4 3 m'
_space_group_IT_number 216
_space_group_name_Hall 'F -4 2 3'
loop_
_atom_site_label
_atom_site_type_symbol
_atom_site_fract_x
_atom_site_fract_y
_atom_site_fract_z
Pu1 Pu 0.000 0.000 0.000
Np1 Np 0.000 0.000 0.500
Tc1 Tc 0.250 0.250 0.750
Ni1 Ni 0.250 0.250 0.250
```

Properties
- total energy (eV per formula unit) = -42.9
- crystal system = cubic
- energy relative to the elements (kJ per mole of atoms) = 13
- D(E_F) (states/eV/cell) = 46.68



# 2
Here is a relaxed RbNp2NiS4 crystal from Alexandria via LeMat-Bulk. Energies are from PBE.

Structure (CIF):
```
data_RbNp2NiS4
_chemical_formula_sum 'Rb4 Np8 Ni4 S16'
_cell_length_a 3.938
_cell_length_b 13.790
_cell_length_c 13.485
_cell_angle_alpha 90.00
_cell_angle_beta 90.00
_cell_angle_gamma 90.00
_space_group_name_H-M_alt 'C m c m'
_space_group_IT_number 63
_space_group_name_Hall '-C 2c 2'
loop_
_atom_site_label
_atom_site_type_symbol
_atom_site_fract_x
_atom_site_fract_y
_atom_site_fract_z
Rb1 Rb 0.000 0.101 0.250
Np1 Np 0.000 0.366 0.060
Ni1 Ni 0.000 0.170 0.750
S1 S 0.000 0.000 0.000
S2 S 0.000 0.259 0.610
S3 S 0.000 0.416 0.250
```

Properties
- total energy (eV per formula unit) = -59.2
- crystal system = orthorhombic
- D(E_F) (states/eV/cell) = 69.64
- energy relative to the elements, uncorrected (eV/atom) = -1.2521



# 3
Here is a relaxed Rb3Np3NiS8 crystal from Alexandria via LeMat-Bulk. Energies are from PBE.

Structure (CIF):
```
data_Rb3Np3NiS8
_chemical_formula_sum 'Rb6 Np6 Ni2 S16'
_cell_length_a 13.634
_cell_length_b 7.882
_cell_length_c 9.034
_cell_angle_alpha 90.00
_cell_angle_beta 120.17
_cell_angle_gamma 90.00
_space_group_name_H-M_alt 'C 1 2/m 1'
_space_group_IT_number 12
loop_
_space_group_symop_operation_xyz
'x,y,z'
'-x,-y,-z'
'-x,y,-z'
'x,-y,z'
'x+1/2,y+1/2,z'
'-x+1/2,-y+1/2,-z'
'-x+1/2,y+1/2,-z'
'x+1/2,-y+1/2,z'
loop_
_atom_site_label
_atom_site_type_symbol
_atom_site_fract_x
_atom_site_fract_y
_atom_site_fract_z
Rb1 Rb 0.000 0.000 0.000
Rb2 Rb 0.250 0.250 0.000
Np1 Np 0.000 0.500 0.500
Np2 Np 0.250 0.250 0.500
Ni1 Ni 0.000 0.000 0.500
S1 S 0.021 0.240 0.322
S2 S 0.217 0.000 0.676
S3 S 0.231 0.500 0.693
```

Properties
- total energy (eV per formula unit) = -97.5
- crystal system = monoclinic
- D(E_F) (states/eV/cell) = 63.84
- energy relative to the elements, uncorrected (eV/atom) = -1.1305